A plane-wave DFT calculation with GGA-PBEsol was carried out for K2HgBiI6 after structural relaxation.

The space group is Fm-3m (No. 225) and the conventional cell measures 12.1163, 12.1163 and 12.1163 Å, with angles of 90.00, 90.00 and 90.00 degrees. The inequivalent atoms are K at (0.2500, 0.2500, 0.2500), Hg at (0.0000, 0.0000, 0.0000), Bi at (0.0000, 0.0000, 0.5000) and I at (0.0000, 0.0000, 0.2491).

Its formation energy (no corrections) is -0.72 eV/atom. The total energy is -0.09144 Ha/atom.